1.
{"formula": "SrMgI2", "functional": "PBE-GGA", "state": "optimized geometry", "lattice": [[-4.866, 4.866, 4.096], [4.866, -4.866, 4.096], [4.866, 4.866, -4.096]], "species": ["Sr", "Sr", "Mg", "Mg", "I", "I", "I", "I"], "fractional_positions": [[0.000, 0.000, 0.000], [0.750, 0.250, 0.500], [0.250, 0.750, 0.500], [0.500, 0.500, 0.000], [0.064, 0.125, 0.439], [0.375, 0.936, 0.061], [0.686, 0.625, 0.561], [0.875, 0.314, 0.939]], "volume_a3_per_cell": 388.0, "relative_energy_mev_per_atom": 15, "formation_energy_uncorrected_mev_per_atom": -827, "spacegroup": "I-42d"}

---

2.
{"formula": "Ti2IrCl", "functional": "PBE-GGA", "state": "optimized geometry", "lattice": [[0.000, 3.165, 3.165], [3.165, 0.000, 3.165], [3.165, 3.165, 0.000]], "species": ["Ti", "Ti", "Ir", "Cl"], "fractional_positions": [[0.250, 0.250, 0.250], [0.750, 0.750, 0.750], [0.000, 0.000, 0.000], [0.500, 0.500, 0.500]], "volume_a3_per_cell": 63.4, "relative_energy_mev_per_atom": 44, "formation_energy_uncorrected_mev_per_atom": -208, "spacegroup": "Fm-3m"}

---

3.
{"formula": "PmTlPd", "functional": "PBE-GGA", "state": "optimized geometry", "lattice": [[2.557, 1.476, 7.058], [-2.557, 1.476, 7.058], [0.000, -2.953, 7.058]], "species": ["Pm", "Pm", "Tl", "Tl", "Pd", "Pd"], "fractional_positions": [[0.111, 0.111, 0.111], [0.889, 0.889, 0.889], [0.382, 0.382, 0.382], [0.618, 0.618, 0.618], [0.247, 0.247, 0.247], [0.753, 0.753, 0.753]], "volume_a3_per_cell": 159.9, "relative_energy_mev_per_atom": 155, "ef_ev_per_atom": -0.476, "spacegroup": "R-3m"}

---

4.
{"formula": "RbNaAgCl3", "functional": "PBE-GGA", "state": "optimized geometry", "lattice": [[8.726, 0.000, 0.000], [0.000, 4.257, 0.000], [-2.821, 0.000, 9.517]], "species": ["Rb", "Rb", "Na", "Na", "Ag", "Ag", "Cl", "Cl", "Cl", "Cl", "Cl", "Cl"], "fractional_positions": [[0.210, 0.250, 0.225], [0.790, 0.750, 0.775], [0.345, 0.750, 0.871], [0.655, 0.250, 0.129], [0.111, 0.250, 0.601], [0.889, 0.750, 0.399], [0.107, 0.250, 0.857], [0.226, 0.750, 0.515], [0.460, 0.750, 0.159], [0.540, 0.250, 0.841], [0.774, 0.250, 0.485], [0.893, 0.750, 0.143]], "volume_a3_per_cell": 353.5, "formation_energy_uncorrected_mev_per_atom": -1380, "spacegroup": "P2_1/m"}

---

5.
{"formula": "BiRh2Au", "functional": "PBE-GGA", "state": "optimized geometry", "lattice": [[3.388, 0.000, 0.000], [0.000, 3.388, 0.000], [0.000, 0.000, 6.205]], "species": ["Bi", "Rh", "Rh", "Au"], "fractional_positions": [[0.000, 0.000, 0.000], [0.500, 0.500, 0.254], [0.500, 0.500, 0.746], [0.000, 0.000, 0.500]], "volume_a3_per_cell": 71.2, "ef_ev_per_atom": 0.096, "spacegroup": "P4/mmm"}

---

6.
{"formula": "MgScB", "functional": "PBE-GGA", "state": "optimized geometry", "lattice": [[1.693, -9.495, 0.000], [1.693, 9.495, 0.000], [0.000, 0.000, 3.143]], "species": ["Mg", "Mg", "Sc", "Sc", "B", "B"], "fractional_positions": [[0.196, 0.804, 0.750], [0.804, 0.196, 0.250], [0.426, 0.574, 0.750], [0.574, 0.426, 0.250], [0.019, 0.981, 0.750], [0.981, 0.019, 0.250]], "volume_a3_per_cell": 101.0, "relative_energy_mev_per_atom": 89, "ef_ev_per_atom": -0.337, "spacegroup": "Cmcm"}

---

7.
{"formula": "AcPmUO6", "functional": "PBE-GGA", "state": "optimized geometry", "lattice": [[6.145, 0.000, 0.000], [-3.073, 5.322, 0.000], [0.000, 0.000, 9.221]], "species": ["Ac", "Ac", "Pm", "Pm", "U", "U", "O", "O", "O", "O", "O", "O", "O", "O", "O", "O", "O", "O"], "fractional_positions": [[0.333, 0.667, 0.250], [0.667, 0.333, 0.750], [0.000, 0.000, 0.000], [0.000, 0.000, 0.500], [0.333, 0.667, 0.750], [0.667, 0.333, 0.250], [0.050, 0.366, 0.631], [0.050, 0.684, 0.869], [0.316, 0.366, 0.869], [0.316, 0.950, 0.631], [0.366, 0.050, 0.131], [0.366, 0.316, 0.369], [0.634, 0.684, 0.631], [0.634, 0.950, 0.869], [0.684, 0.050, 0.369], [0.684, 0.634, 0.131], [0.950, 0.316, 0.131], [0.950, 0.634, 0.369]], "volume_a3_per_cell": 301.6, "formation_energy_uncorrected_mev_per_atom": -3234, "spacegroup": "P-31c"}

---

8.
{"formula": "GaAuSe2F", "functional": "PBE-GGA", "state": "optimized geometry", "lattice": [[4.919, 0.000, 0.000], [0.000, 4.919, 0.000], [0.000, 0.000, 4.969]], "species": ["Ga", "Au", "Se", "Se", "F"], "fractional_positions": [[0.000, 0.000, 0.000], [0.000, 0.000, 0.500], [0.000, 0.500, 0.000], [0.500, 0.000, 0.000], [0.500, 0.500, 0.500]], "volume_a3_per_cell": 120.2, "formation_energy_uncorrected_mev_per_atom": 283, "spacegroup": "P4/mmm"}

---

Number 1: DOS(E_F) 0.00 states/eV/f.u.. Number 2: DOS(E_F) 6.52 states/eV/f.u.. Number 3: DOS(E_F) 0.64 states/eV/f.u.. Number 4: DOS(E_F) 0.00 states/eV/f.u.. Number 5: DOS(E_F) 3.34 states/eV/f.u.. Number 6: DOS(E_F) 1.59 states/eV/f.u.. Number 7: DOS(E_F) 0.00 states/eV/f.u.. Number 8: DOS(E_F) 5.52 states/eV/f.u..